The following is a DFT calculation (PBE) of crystalline ScTiO at its relaxed geometry.

```
ScTiO
1.0
3.112 0.000 0.000
-1.556 2.695 0.000
0.000 0.000 4.986
Sc Ti O
1 1 1
Direct
0.000 0.000 0.000
0.667 0.333 0.505
0.333 0.667 0.261
```

Properties
Magnetic moment ... 0.0070 μB/atom
Formation energy without anion corrections ... -1.817 eV per atom
V ... 13.94 Å³/atom
Energy relative to the lowest polymorph listed for this composition ... 127 meV per atom
Symmetry ... P3m1


The following is a DFT calculation (PBE) of crystalline Ni2SbP at its relaxed geometry.

```
Ni2SbP
1.0
2.999 0.000 0.000
0.000 3.553 0.000
-1.154 0.000 5.856
Ni Sb P
2 1 1
Direct
0.164 0.000 0.313
0.836 0.000 0.687
0.500 0.500 0.000
0.000 0.500 0.500
```

Properties
Magnetic moment ... 0.0000 μB/atom
Formation energy without anion corrections ... 0.058 eV per atom
V ... 15.60 Å³/atom
Energy relative to the lowest polymorph listed for this composition ... 369 meV per atom
Symmetry ... P2/m


The following is a DFT calculation (PBE) of crystalline HfAgI2N at its relaxed geometry.

```
HfAgI2N
1.0
5.921 0.000 0.000
0.000 5.921 0.000
0.000 0.000 3.974
Hf Ag I N
1 1 2 1
Direct
0.000 0.000 0.000
0.500 0.500 0.500
0.000 0.500 0.000
0.500 0.000 0.000
0.000 0.000 0.500
```

Properties
Magnetic moment ... 0.0000 μB/atom
Formation energy without anion corrections ... -0.095 eV per atom
V ... 27.87 Å³/atom
Energy relative to the lowest polymorph listed for this composition ... 0 meV per atom
Symmetry ... P4/mmm


The following is a DFT calculation (PBE) of crystalline KCrAgTe2 at its relaxed geometry.

```
KCrAgTe2
1.0
3.190 -7.681 0.000
3.190 7.681 0.000
0.000 0.000 6.441
K Cr Ag Te
2 2 2 4
Direct
0.250 0.750 0.771
0.750 0.250 0.229
0.250 0.250 0.500
0.750 0.750 0.500
0.000 0.000 0.000
0.500 0.500 0.000
0.119 0.881 0.300
0.381 0.619 0.300
0.619 0.381 0.700
0.881 0.119 0.700
```

Properties
Magnetic moment ... 0.8000 μB/atom
Formation energy without anion corrections ... -0.315 eV per atom
V ... 31.56 Å³/atom
Symmetry ... Cmme


Q: Among the records above, which one has the lowest V?
A: ScTiO


Q: magnetic moment of number 1 (ScTiO)?
A: 0.0070 μB/atom